1.
A plane-wave DFT calculation with GGA-PBE was carried out for crystalline LiTc2Br at its relaxed geometry.

Output
total energy: -6.044 eV/atom
ΔE to the lowest computed polymorph: 0.00 eV/f.u.
uncorrected formation energy: 0.04 eV/atom
density of states at the Fermi level: 1.6 states/eV per cell
theoretical density: 7.2 Mg/m³

Cell and atoms, written as POSCAR:
```
LiTc2Br
1.0
-2.946 -1.004 -0.079
0.241 -0.464 -3.089
2.208 -6.442 -0.448
Tc Li Br
2 1 1
Direct
0.500 0.464 0.196
0.000 0.063 0.000
0.500 0.693 0.740
0.000 0.281 0.564
```


2.
A plane-wave DFT calculation with GGA-PBE was carried out for crystalline ZrPt7 at its relaxed geometry.

Output
total energy: -6.833 eV/atom
ΔE to the lowest computed polymorph: 0.44 eV/f.u.
density of states at the Fermi level: 12.8 states/eV per cell
theoretical density: 18.7 Mg/m³
formation enthalpy at 0 K: -3.83 eV/f.u.

Cell and atoms, written as POSCAR:
```
ZrPt7
1.0
5.680 0.000 0.000
2.840 4.919 0.000
-2.840 -1.640 4.638
Pt Zr
7 1
Direct
0.000 0.000 0.500
0.000 0.500 0.500
0.500 0.500 0.000
0.000 0.500 0.000
0.500 0.000 0.000
0.500 0.500 0.500
0.500 0.000 0.500
0.000 0.000 0.000
```


3.
A plane-wave DFT calculation with GGA-PBE was carried out for crystalline Tb12Y5Th2 at its relaxed geometry.

Output
total energy: -5.382 eV/atom
ΔE to the lowest computed polymorph: 0.00 eV/f.u.
density of states at the Fermi level: 27.5 states/eV per cell
theoretical density: 7.7 Mg/m³
formation enthalpy at 0 K: 0.46 eV/f.u.

Cell and atoms, written as POSCAR:
```
Tb12Y5Th2
1.0
5.926 -1.256 1.280
-4.688 9.362 -9.018
1.480 -2.975 15.175
Y Tb Th
5 12 2
Direct
0.784 0.363 0.338
0.577 0.737 0.185
0.000 0.000 0.500
0.216 0.637 0.662
0.423 0.263 0.815
0.099 0.311 0.078
0.472 0.423 0.608
0.160 0.477 0.869
0.948 0.845 0.715
0.528 0.577 0.392
0.316 0.946 0.236
0.840 0.523 0.131
0.684 0.054 0.764
0.052 0.155 0.285
0.264 0.791 0.448
0.901 0.689 0.922
0.736 0.209 0.552
0.634 0.898 0.975
0.366 0.102 0.025
```


4.
A plane-wave DFT calculation with GGA-PBE was carried out for crystalline Nd3Er6Tl at its relaxed geometry.

Output
total energy: -4.408 eV/atom
density of states at the Fermi level: 27.5 states/eV per cell
theoretical density: 8.6 Mg/m³
formation enthalpy at 0 K: -0.03 eV/f.u.

Cell and atoms, written as POSCAR:
```
Nd3Er6Tl
1.0
3.564 0.000 0.000
0.000 12.800 -1.928
0.000 -6.184 14.788
Tl Er Nd
2 12 6
Direct
0.750 0.116 0.691
0.250 0.884 0.309
0.750 0.593 0.710
0.250 0.112 0.281
0.750 0.383 0.100
0.750 0.888 0.719
0.750 0.115 0.477
0.750 0.857 0.105
0.250 0.407 0.290
0.250 0.143 0.895
0.250 0.885 0.523
0.250 0.617 0.900
0.750 0.666 0.311
0.250 0.334 0.689
0.750 0.624 0.501
0.250 0.874 0.907
0.250 0.376 0.499
0.750 0.126 0.093
0.250 0.614 0.104
0.750 0.386 0.896
```


5.
A plane-wave DFT calculation with GGA-PBE was carried out for crystalline Pm2AlAu at its relaxed geometry.

Output
total energy: -4.352 eV/atom
density of states at the Fermi level: 7.1 states/eV per cell
theoretical density: 7.4 Mg/m³
formation enthalpy at 0 K: -0.89 eV/f.u.

Cell and atoms, written as POSCAR:
```
Pm2AlAu
1.0
4.835 0.000 0.000
0.000 9.565 -0.001
-2.417 -2.391 5.005
Au Pm Al
2 4 2
Direct
0.000 0.750 0.000
0.000 0.250 0.000
0.179 0.589 0.357
0.821 0.911 0.643
0.821 0.411 0.643
0.179 0.089 0.357
0.500 0.250 0.000
0.500 0.750 0.000
```


6.
A plane-wave DFT calculation with GGA-PBE was carried out for crystalline Nd5Tl2Rh2 at its relaxed geometry.

Output
total energy: -5.287 eV/atom
density of states at the Fermi level: 12.5 states/eV per cell
theoretical density: 8.6 Mg/m³
formation enthalpy at 0 K: -4.31 eV/f.u.

Cell and atoms, written as POSCAR:
```
Nd5Tl2Rh2
1.0
-6.632 -0.403 -5.568
-3.380 -4.800 4.374
-1.941 8.496 1.697
Nd Tl Rh
10 4 4
Direct
0.321 0.962 0.239
0.500 0.500 0.000
0.179 0.224 0.761
0.821 0.538 0.761
0.179 0.462 0.239
0.679 0.038 0.761
0.821 0.776 0.239
0.000 0.000 0.000
0.321 0.724 0.761
0.679 0.276 0.239
0.500 0.715 0.429
0.000 0.215 0.429
0.000 0.785 0.571
0.500 0.285 0.571
0.121 0.634 0.000
0.379 0.134 0.000
0.621 0.866 0.000
0.879 0.366 0.000
```


7.
A plane-wave DFT calculation with GGA-PBE was carried out for crystalline Ca2HgB2Rh5 at its relaxed geometry.

Output
total energy: -5.925 eV/atom
density of states at the Fermi level: 6.8 states/eV per cell
theoretical density: 8.9 Mg/m³
formation enthalpy at 0 K: -4.83 eV/f.u.

Cell and atoms, written as POSCAR:
```
Ca2HgB2Rh5
1.0
-0.561 -2.569 1.502
9.295 -3.162 -1.933
3.209 4.253 8.470
Ca Hg Rh B
4 2 10 4
Direct
0.000 0.678 0.178
0.000 0.322 0.822
0.000 0.822 0.678
0.000 0.178 0.322
0.000 0.000 0.000
0.000 0.500 0.500
0.500 0.569 0.732
0.500 0.000 0.500
0.500 0.431 0.268
0.500 0.500 0.000
0.500 0.232 0.069
0.500 0.931 0.232
0.500 0.732 0.431
0.500 0.069 0.768
0.500 0.268 0.569
0.500 0.768 0.931
0.000 0.379 0.121
0.000 0.121 0.621
0.000 0.879 0.379
0.000 0.621 0.879
```


8.
A plane-wave DFT calculation with GGA-PBE was carried out for crystalline KYBe2Al at its relaxed geometry.

Output
total energy: -2.944 eV/atom
density of states at the Fermi level: 4.3 states/eV per cell
theoretical density: 2.4 Mg/m³
formation enthalpy at 0 K: 4.04 eV/f.u.

Cell and atoms, written as POSCAR:
```
KYBe2Al
1.0
-2.258 -0.422 -4.053
4.687 -1.458 -2.460
-0.887 -4.472 0.960
Al K Be Y
1 1 2 1
Direct
0.000 0.000 0.000
0.500 0.500 0.500
0.500 0.000 0.000
0.000 0.000 0.500
0.000 0.500 0.000
```